# 1
Below is a relaxed structure of Dy2YMg, with properties calculated at the GGA-PBE level.

Summary:
DFT formation energy = 0.5 eV per formula unit
Final energy = -16.8 eV per formula unit
Magnetic moment = 0.002 Bohr magnetons per cell
Volume = 491.0 Å³ per cell

Cell: 12.898 3.435 11.114 Å, 90.00 94.42 90.00°
Space group C2/m (No. 12)
Asymmetric unit:
Dy 0.012 0.000 0.283 [4 per cell]
Dy 0.240 0.500 0.256 [4 per cell]
Y 0.132 0.000 0.002 [4 per cell]
Mg 0.132 0.500 0.513 [4 per cell]



# 2
Below is a relaxed structure of TaFeP, with properties calculated at the GGA-PBE level.

Summary:
DFT formation energy = -1.1 eV per formula unit
Final energy = -26.8 eV per formula unit
Magnetic moment = 0.000 Bohr magnetons per cell
Volume = 78.1 Å³ per cell

Cell: 2.819 2.819 9.826 Å, 90.00 90.00 90.00°
Space group I4mm (No. 107)
Asymmetric unit:
Ta 0.000 0.000 0.000 [2 per cell]
Fe 0.000 0.000 0.298 [2 per cell]
P 0.000 0.000 0.688 [2 per cell]



# 3
Below is a relaxed structure of CaTl2P2S6, with properties calculated at the GGA-PBE level.

Summary:
Final energy = -49.1 eV per formula unit
Magnetic moment = 0.000 Bohr magnetons per cell
Formation energy from raw total energies = -616 meV per atom
Volume = 892.8 Å³ per cell

Cell: 6.8968 6.8968 21.6746 Å, 90.00 90.00 120.00°
Space group R-3m (No. 166, hexagonal axes)
Asymmetric unit:
Ca 0.0000 0.0000 0.0000 [3 per cell]
Tl 0.0000 0.0000 0.2182 [6 per cell]
P 0.0000 0.0000 0.4467 [6 per cell]
S 0.0028 0.5014 0.2407 [18 per cell]



# 4
Below is a relaxed structure of SbCl5, with properties calculated at the GGA-PBE level.

Summary:
Final energy = -17.2 eV per formula unit
Magnetic moment = 0.000 Bohr magnetons per cell
Formation energy from raw total energies = -645 meV per atom
Volume = 479.0 Å³ per cell

Cell: 8.0799 8.0799 8.4717 Å, 90.00 90.00 120.00°
Space group P6_3/mmc (No. 194)
Asymmetric unit:
Sb 0.3333 0.6667 0.2500 [2 per cell]
Cl 0.1667 0.3333 0.2500 [6 per cell]
Cl 0.3333 0.6667 0.5306 [4 per cell]



# 5
Below is a relaxed structure of LiNbCd, with properties calculated at the GGA-PBE level.

Summary:
DFT formation energy = 0.1 eV per formula unit
Final energy = -12.8 eV per formula unit
Magnetic moment = 0.000 Bohr magnetons per cell
Volume = 106.5 Å³ per cell

Cell: 4.433 3.198 7.818 Å, 90.00 106.03 90.00°
Space group P2/m (No. 10)
Asymmetric unit:
Li 0.170 0.000 0.339 [2 per cell]
Nb 0.000 0.500 0.000 [1 per cell]
Nb 0.500 0.000 0.000 [1 per cell]
Cd 0.329 0.500 0.658 [2 per cell]



# 6
Below is a relaxed structure of LaHo3Er3, with properties calculated at the GGA-PBE level.

Summary:
DFT formation energy = 0.1 eV per formula unit
Final energy = -32.2 eV per formula unit
Magnetic moment = 0.000 Bohr magnetons per cell
Volume = 447.2 Å³ per cell

Cell: 9.5504 9.5504 5.6620 Å, 90.00 90.00 120.00°
Space group P6_3/m (No. 176)
Asymmetric unit:
La 0.3333 0.6667 0.2500 [2 per cell]
Ho 0.0957 0.4758 0.7500 [6 per cell]
Er 0.0468 0.2343 0.2500 [6 per cell]



# 7
Below is a relaxed structure of TcBr, with properties calculated at the GGA-PBE level.

Summary:
Final energy = -10.7 eV per formula unit
Magnetic moment = 12.022 Bohr magnetons per cell
Formation energy from raw total energies = 659 meV per atom
Volume = 548.2 Å³ per cell

Cell: 8.184 8.184 8.184 Å, 90.00 90.00 90.00°
Space group I-43m (No. 217)
Asymmetric unit:
Tc 0.107 0.107 0.893 [8 per cell]
Br 0.208 0.208 0.208 [8 per cell]



# 8
Below is a relaxed structure of CsNaGa2F8, with properties calculated at the GGA-PBE level.

Summary:
Final energy = -55.5 eV per formula unit
Magnetic moment = 0.897 Bohr magnetons per cell
Formation energy from raw total energies = -2691 meV per atom
Volume = 661.1 Å³ per cell

Cell: 5.6465 5.6465 23.9443 Å, 90.00 90.00 120.00°
Space group R-3 (No. 148, hexagonal axes)
Asymmetric unit:
Cs 0.0000 0.0000 0.0000 [3 per cell]
Na 0.0000 0.0000 0.5000 [3 per cell]
Ga 0.0000 0.0000 0.2399 [6 per cell]
F 0.0000 0.0000 0.3158 [6 per cell]
F 0.0070 0.3104 0.2203 [18 per cell]